Record 1
Computed, not measured: a relaxed structure of Fe2MoAu at the PBE level of DFT.

a = 4.601 Å, b = 4.601 Å, c = 4.899 Å
α = 97.82°, β = 97.82°, γ = 34.33°
Positions (direct):
Fe1 0.249 0.249 0.268
Fe2 0.751 0.751 0.732
Mo1 0.000 0.000 0.500
Au1 0.500 0.500 0.000

Properties
Magnetic moment ... 4.5 μB per cell
SG ... C2/m (12)
ΔE to the lowest computed polymorph ... 0.44 eV per formula unit
Energy of formation ... 272 meV per atom
Volume ... 14.472 Å³/atom

Record 2
Computed, not measured: a relaxed structure of Hf4Co3Ni at the PBE level of DFT.

a = 7.732 Å, b = 7.732 Å, c = 7.732 Å
α = 33.62°, β = 33.62°, γ = 33.62°
Positions (direct):
Hf1 0.125 0.125 0.125
Hf2 0.375 0.375 0.375
Hf3 0.625 0.625 0.625
Hf4 0.875 0.875 0.875
Co1 0.000 0.000 0.000
Co2 0.251 0.251 0.251
Co3 0.749 0.749 0.749
Ni1 0.500 0.500 0.500

Properties
Magnetic moment ... 1.2 μB per cell
SG ... R-3m (166)
Energy of formation ... -403 meV per atom
Volume ... 15.778 Å³/atom

Record 3
Computed, not measured: a relaxed structure of Ga4CoIr3 at the PBE level of DFT.

a = 6.746 Å, b = 6.745 Å, c = 4.285 Å
α = 71.49°, β = 71.47°, γ = 37.04°
Positions (direct):
Ga1 0.121 0.121 0.379
Ga2 0.379 0.379 0.121
Ga3 0.621 0.621 0.879
Ga4 0.879 0.879 0.621
Co1 0.000 0.000 0.000
Ir1 0.248 0.248 0.752
Ir2 0.500 0.500 0.500
Ir3 0.752 0.752 0.248

Properties
Magnetic moment ... 0.6 μB per cell
SG ... Fmmm (69)
Energy of formation ... -358 meV per atom
Volume ... 13.834 Å³/atom